No. 1
Computed, not measured: crystalline Ba2Cd3In2 at its relaxed geometry at the PBE level of DFT.

The structure in POSCAR format:
```
Ba2Cd3In2
1.0
6.233 -2.549 0.000
6.233 2.549 0.000
-3.070 0.000 7.039
Ba Cd In
2 3 2
Direct
0.149 0.149 0.273
0.851 0.851 0.727
0.408 0.408 0.078
0.500 0.500 0.500
0.592 0.592 0.922
0.154 0.154 0.768
0.846 0.846 0.232
```

The value obtained for the formation energy is -329 meV per atom. The space group is No. 12.

***

No. 2
Computed, not measured: crystalline Ac2TbTe4 at its relaxed geometry at the PBE level of DFT.

The structure in POSCAR format:
```
Ac2TbTe4
1.0
7.452 -2.199 0.000
7.452 2.199 0.000
-4.985 0.000 7.945
Ac Tb Te
2 1 4
Direct
0.143 0.143 0.201
0.857 0.857 0.799
0.500 0.500 0.500
0.165 0.165 0.580
0.439 0.439 0.129
0.561 0.561 0.871
0.835 0.835 0.420
```

The value obtained for the formation energy from raw total energies is -144 kJ/mol of atoms. The space group is No. 12. The value obtained for the relative energy among the computed polymorphs is 0.00 kJ per mole of atoms.

***

No. 3
Computed, not measured: crystalline LaSi2Pt4 at its relaxed geometry at the PBE level of DFT.

The structure in POSCAR format:
```
LaSi2Pt4
1.0
18.219 0.000 0.000
0.000 4.118 0.000
0.000 0.000 6.763
La Si Pt
4 8 16
Direct
0.140 0.250 0.024
0.360 0.750 0.524
0.640 0.250 0.476
0.860 0.750 0.976
0.036 0.750 0.739
0.200 0.250 0.457
0.300 0.750 0.957
0.464 0.250 0.239
0.536 0.750 0.761
0.700 0.250 0.043
0.800 0.750 0.543
0.964 0.250 0.261
0.015 0.750 0.132
0.062 0.250 0.503
0.162 0.750 0.647
0.232 0.750 0.267
0.268 0.250 0.767
0.338 0.250 0.147
0.438 0.750 0.003
0.485 0.250 0.632
0.515 0.750 0.368
0.562 0.250 0.997
0.662 0.750 0.853
0.732 0.750 0.233
0.768 0.250 0.733
0.838 0.250 0.353
0.938 0.750 0.497
0.985 0.250 0.868
```

The value obtained for the formation energy from raw total energies is -86 kJ/mol of atoms. The space group is No. 62.

***

No. 4
Computed, not measured: crystalline K2TiCr2Se6 at its relaxed geometry at the PBE level of DFT.

The structure in POSCAR format:
```
K2TiCr2Se6
1.0
3.212 -5.567 0.000
3.212 5.567 0.000
-2.109 0.000 7.816
K Ti Cr Se
2 1 2 6
Direct
0.165 0.835 0.000
0.835 0.165 0.000
0.000 0.000 0.500
0.332 0.668 0.500
0.668 0.332 0.500
0.062 0.397 0.682
0.279 0.279 0.318
0.397 0.062 0.682
0.603 0.938 0.318
0.721 0.721 0.682
0.938 0.603 0.318
```

The value obtained for the formation energy from raw total energies is -90 kJ/mol of atoms. The space group is No. 12.

***

No. 5
Computed, not measured: crystalline PrSmPt6 at its relaxed geometry at the PBE level of DFT.

The structure in POSCAR format:
```
PrSmPt6
1.0
5.391 0.000 0.000
0.000 5.391 0.000
0.000 0.000 5.391
Pr Sm Pt
1 1 6
Direct
0.000 0.000 0.000
0.500 0.500 0.500
0.000 0.251 0.500
0.000 0.749 0.500
0.251 0.500 0.000
0.500 0.000 0.251
0.500 0.000 0.749
0.749 0.500 0.000
```

The value obtained for the formation energy is -558 meV per atom. The space group is No. 200.

***

No. 6
Computed, not measured: crystalline Pm8Pt3SeI4 at its relaxed geometry at the PBE level of DFT.

The structure in POSCAR format:
```
Pm8Pt3SeI4
1.0
4.302 2.484 7.868
-4.302 2.484 7.868
0.000 -4.967 7.868
Pm Pt Se I
8 3 1 4
Direct
0.217 0.738 0.738
0.227 0.227 0.227
0.262 0.262 0.783
0.262 0.783 0.262
0.738 0.217 0.738
0.738 0.738 0.217
0.773 0.773 0.773
0.783 0.262 0.262
0.000 0.000 0.500
0.000 0.500 0.000
0.500 0.000 0.000
0.500 0.500 0.500
0.000 0.000 0.000
0.000 0.500 0.500
0.500 0.000 0.500
0.500 0.500 0.000
```

The value obtained for the formation energy from raw total energies is -112 kJ/mol of atoms. The space group is No. 166.